Material: La2TbAs2I2
Method: DFT, PBE
State: relaxed

abc: 5.457 5.457 9.168
angles: 107.31 107.31 90.00
Sites, in units of the cell vectors:
La  0.400  0.400  0.800
La  0.600  0.600  0.200
Tb  0.000  0.000  0.000
As  0.000  0.500  0.000
As  0.500  0.000  0.000
I  0.192  0.192  0.384
I  0.808  0.808  0.616

Output
As for the spin magnetization: 0.1364 μB per atom. The raw formation energy comes out at -1.2353 eV/atom.